[1]
# Sc2NiRhN

An optimized crystal structure of Sc2NiRhN (PBE, Alexandria).

```
Sc2NiRhN
1.0
4.891 0.000 0.000
0.000 4.891 0.000
0.000 0.000 4.396
Sc Ni Rh N
2 1 1 1
direct
0.000 0.500 0.000
0.500 0.000 0.000
0.000 0.000 0.500
0.000 0.000 0.000
0.500 0.500 0.500
```

Calculated values
As for the spin magnetization: 1.22 μB/f.u. The theoretical density is 4.19 g/cm³. The formation energy (no corrections) comes out at 0.915 eV per atom. The final energy comes out at -5.91 eV/atom. Its space group is P4/mmm (123).



[2]
# NiRhSeN2

An optimized crystal structure of NiRhSeN2 (PBE, Alexandria).

```
NiRhSeN2
1.0
3.714 0.000 0.000
0.000 3.714 0.000
0.000 0.000 5.610
Ni Rh Se N
1 1 1 2
direct
0.000 0.000 0.000
0.500 0.500 0.500
0.500 0.500 0.000
0.000 0.500 0.500
0.500 0.000 0.500
```

Calculated values
As for the spin magnetization: 1.02 μB/f.u. The theoretical density is 5.76 g/cm³. The formation energy (no corrections) comes out at 1.139 eV per atom. The final energy comes out at -5.52 eV/atom. Its space group is P4/mmm (123).



[3]
# NiRhSeN2

An optimized crystal structure of NiRhSeN2 (PBE, Alexandria).

```
NiRhSeN2
1.0
3.497 0.000 0.000
0.000 3.497 0.000
0.000 0.000 6.744
Ni Rh Se N
1 1 1 2
direct
0.000 0.000 0.000
0.500 0.500 0.500
0.000 0.000 0.500
0.000 0.500 0.000
0.500 0.000 0.000
```

Calculated values
As for the spin magnetization: 0.00 μB/f.u. The theoretical density is 5.41 g/cm³. The formation energy (no corrections) comes out at 1.249 eV per atom. The final energy comes out at -5.40 eV/atom. Its space group is P4/mmm (123).



[4]
# Ni2SnRhN

An optimized crystal structure of Ni2SnRhN (PBE, Alexandria).

```
Ni2SnRhN
1.0
3.827 0.000 0.000
0.000 3.827 0.000
0.000 0.000 4.353
Ni Sn Rh N
2 1 1 1
direct
0.000 0.500 0.000
0.500 0.000 0.000
0.000 0.000 0.500
0.500 0.500 0.500
0.500 0.500 0.000
```

Calculated values
As for the spin magnetization: 0.00 μB/f.u. The theoretical density is 9.19 g/cm³. The formation energy (no corrections) comes out at 0.014 eV per atom. The final energy comes out at -6.23 eV/atom. Its space group is P4/mmm (123).



[5]
# TaNi2RhN

An optimized crystal structure of TaNi2RhN (PBE, Alexandria).

```
TaNi2RhN
1.0
3.821 0.000 0.000
0.000 3.821 0.000
0.000 0.000 4.156
Ta Ni Rh N
1 2 1 1
direct
0.000 0.000 0.000
0.000 0.500 0.500
0.500 0.000 0.500
0.500 0.500 0.000
0.000 0.000 0.500
```

Calculated values
As for the spin magnetization: 0.00 μB/f.u. The theoretical density is 11.37 g/cm³. The formation energy (no corrections) comes out at -0.348 eV per atom. The final energy comes out at -8.17 eV/atom. Its space group is P4/mmm (123).



[6]
# NiTeRhN2

An optimized crystal structure of NiTeRhN2 (PBE, Alexandria).

```
NiTeRhN2
1.0
3.638 0.000 0.000
0.000 3.638 0.000
0.000 0.000 5.893
Ni Te Rh N
1 1 1 2
direct
0.000 0.000 0.000
0.000 0.000 0.500
0.500 0.500 0.500
0.000 0.500 0.000
0.500 0.000 0.000
```

Calculated values
As for the spin magnetization: 0.00 μB/f.u. The theoretical density is 6.75 g/cm³. The formation energy (no corrections) comes out at 1.280 eV per atom. The final energy comes out at -5.31 eV/atom. Its space group is P4/mmm (123).



[7]
# NiTeRhN2

An optimized crystal structure of NiTeRhN2 (PBE, Alexandria).

```
NiTeRhN2
1.0
3.743 0.000 0.000
0.000 3.743 0.000
0.000 0.000 6.010
Ni Te Rh N
1 1 1 2
direct
0.000 0.000 0.000
0.500 0.500 0.000
0.500 0.500 0.500
0.000 0.500 0.500
0.500 0.000 0.500
```

Calculated values
As for the spin magnetization: 0.57 μB/f.u. The theoretical density is 6.26 g/cm³. The formation energy (no corrections) comes out at 1.089 eV per atom. The final energy comes out at -5.50 eV/atom. Its space group is P4/mmm (123).



[8]
# VNi2RhN

An optimized crystal structure of VNi2RhN (PBE, Alexandria).

```
VNi2RhN
1.0
3.779 0.000 0.000
0.000 3.779 0.000
0.000 0.000 3.906
V Ni Rh N
1 2 1 1
direct
0.000 0.000 0.000
0.000 0.500 0.500
0.500 0.000 0.500
0.500 0.500 0.000
0.000 0.000 0.500
```

Calculated values
As for the spin magnetization: 0.00 μB/f.u. The theoretical density is 8.49 g/cm³. The formation energy (no corrections) comes out at -0.231 eV per atom. The final energy comes out at -7.50 eV/atom. Its space group is P4/mmm (123).



[9]
# Y2NiRhN

An optimized crystal structure of Y2NiRhN (PBE, Alexandria).

```
Y2NiRhN
1.0
4.849 0.000 0.000
0.000 4.849 0.000
0.000 0.000 3.625
Y Ni Rh N
2 1 1 1
direct
0.000 0.500 0.000
0.500 0.000 0.000
0.000 0.000 0.500
0.500 0.500 0.500
0.000 0.000 0.000
```

Calculated values
As for the spin magnetization: 0.00 μB/f.u. The theoretical density is 6.89 g/cm³. The formation energy (no corrections) comes out at -0.869 eV per atom. The final energy comes out at -7.75 eV/atom. Its space group is P4/mmm (123).



[10]
# ZrNi2RhN

An optimized crystal structure of ZrNi2RhN (PBE, Alexandria).

```
ZrNi2RhN
1.0
4.400 0.000 0.000
0.000 4.400 0.000
0.000 0.000 5.009
Zr Ni Rh N
1 2 1 1
direct
0.000 0.000 0.000
0.000 0.500 0.500
0.500 0.000 0.500
0.000 0.000 0.500
0.500 0.500 0.000
```

Calculated values
As for the spin magnetization: 2.89 μB/f.u. The theoretical density is 5.58 g/cm³. The formation energy (no corrections) comes out at 1.598 eV per atom. The final energy comes out at -5.56 eV/atom. Its space group is P4/mmm (123).



[11]
# NiRuN2

An optimized crystal structure of NiRuN2 (PBE, Alexandria).

```
NiRuN2
1.0
6.895 -1.370 0.000
6.895 1.370 0.000
-0.153 0.000 4.683
Ni Ru N
2 2 4
direct
0.000 0.000 0.000
0.669 0.669 0.866
0.512 0.512 0.535
0.859 0.859 0.389
0.648 0.648 0.470
0.706 0.706 0.276
0.807 0.807 0.787
0.867 0.867 0.984
```

Calculated values
As for the spin magnetization: 0.00 μB/f.u. The theoretical density is 7.05 g/cm³. The formation energy (no corrections) comes out at 0.381 eV per atom. The final energy comes out at -7.55 eV/atom. Its space group is Cm (8).



[12]
# NiRuN2

An optimized crystal structure of NiRuN2 (PBE, Alexandria).

```
NiRuN2
1.0
3.042 0.000 0.000
-1.521 2.634 0.000
0.000 0.000 5.374
Ni Ru N
1 1 2
direct
0.000 0.000 0.000
0.333 0.667 0.551
0.000 0.000 0.359
0.333 0.667 0.909
```

Calculated values
As for the spin magnetization: 0.00 μB/f.u. The theoretical density is 7.24 g/cm³. The formation energy (no corrections) comes out at 0.336 eV per atom. The final energy comes out at -7.59 eV/atom. Its space group is P3m1 (156).



[13]
# NiRuN2

An optimized crystal structure of NiRuN2 (PBE, Alexandria).

```
NiRuN2
1.0
3.172 -1.400 0.000
3.172 1.400 0.000
-0.873 0.000 5.421
Ni Ru N
1 1 2
direct
0.000 0.000 0.000
0.404 0.404 0.454
0.088 0.088 0.344
0.470 0.470 0.786
```

Calculated values
As for the spin magnetization: 0.00 μB/f.u. The theoretical density is 6.48 g/cm³. The formation energy (no corrections) comes out at 0.371 eV per atom. The final energy comes out at -7.56 eV/atom. Its space group is Cm (8).



[14]
# NiRuN

An optimized crystal structure of NiRuN (PBE, Alexandria).

```
NiRuN
1.0
2.699 0.000 0.000
0.000 2.712 0.000
0.000 0.000 9.326
Ni Ru N
2 2 2
direct
0.000 0.000 0.000
0.500 0.500 0.178
0.000 0.000 0.365
0.500 0.500 0.560
0.000 0.500 0.730
0.000 0.500 0.858
```

Calculated values
As for the spin magnetization: 0.00 μB/f.u. The theoretical density is 8.45 g/cm³. The formation energy (no corrections) comes out at 0.262 eV per atom. The final energy comes out at -7.53 eV/atom. Its space group is Pmm2 (25).



[15]
# NiRuN

An optimized crystal structure of NiRuN (PBE, Alexandria).

```
NiRuN
1.0
2.872 0.000 0.000
0.000 2.872 0.000
0.000 0.000 3.887
Ni Ru N
1 1 1
direct
0.000 0.000 0.000
0.500 0.500 0.500
0.500 0.500 0.000
```

Calculated values
As for the spin magnetization: 0.00 μB/f.u. The theoretical density is 9.00 g/cm³. The formation energy (no corrections) comes out at 0.302 eV per atom. The final energy comes out at -7.49 eV/atom. Its space group is P4/mmm (123).



[16]
# NiRuN2

An optimized crystal structure of NiRuN2 (PBE, Alexandria).

```
NiRuN2
1.0
1.411 0.815 6.128
-1.411 0.815 6.128
0.000 -1.630 6.128
Ni Ru N
1 1 2
direct
0.000 0.000 0.000
0.500 0.500 0.500
0.097 0.097 0.097
0.903 0.903 0.903
```

Calculated values
As for the spin magnetization: 0.00 μB/f.u. The theoretical density is 7.37 g/cm³. The formation energy (no corrections) comes out at 0.521 eV per atom. The final energy comes out at -7.41 eV/atom. Its space group is R-3m (166).



[17]
# NiRuN

An optimized crystal structure of NiRuN (PBE, Alexandria).

```
NiRuN
1.0
-1.351 1.369 9.233
1.351 -1.369 9.233
1.351 1.369 -9.233
Ni Ru N
2 2 2
direct
0.000 0.000 0.000
0.409 0.409 0.000
0.217 0.217 0.000
0.816 0.816 0.000
0.068 0.568 0.500
0.134 0.634 0.500
```

Calculated values
As for the spin magnetization: 0.00 μB/f.u. The theoretical density is 8.45 g/cm³. The formation energy (no corrections) comes out at 0.226 eV per atom. The final energy comes out at -7.57 eV/atom. Its space group is Imm2 (44).



[18]
# NiRuN2

An optimized crystal structure of NiRuN2 (PBE, Alexandria).

```
NiRuN2
1.0
0.000 2.614 2.614
2.614 0.000 2.614
2.614 2.614 0.000
Ni Ru N
1 1 2
direct
0.000 0.000 0.000
0.500 0.500 0.500
0.250 0.250 0.250
0.750 0.750 0.750
```

Calculated values
As for the spin magnetization: 1.96 μB/f.u. The theoretical density is 8.73 g/cm³. The formation energy (no corrections) comes out at 1.104 eV per atom. The final energy comes out at -6.82 eV/atom. Its space group is Fm-3m (225).



[19]
# NiRuN

An optimized crystal structure of NiRuN (PBE, Alexandria).

```
NiRuN
1.0
2.691 0.000 0.000
0.000 1.357 9.675
0.000 -1.357 9.675
Ni Ru N
2 2 2
direct
0.000 0.000 0.000
0.500 0.414 0.414
0.000 0.822 0.822
0.500 0.230 0.230
0.500 0.070 0.070
0.500 0.131 0.131
```

Calculated values
As for the spin magnetization: 0.03 μB/f.u. The theoretical density is 8.17 g/cm³. The formation energy (no corrections) comes out at 0.249 eV per atom. The final energy comes out at -7.54 eV/atom. Its space group is Amm2 (38).



[20]
# Ni2RuN

An optimized crystal structure of Ni2RuN (PBE, Alexandria).

```
Ni2RuN
1.0
-3.193 3.193 2.128
3.193 -3.193 2.128
3.193 3.193 -2.128
Ni Ru N
4 2 2
direct
0.029 0.625 0.904
0.375 0.279 0.404
0.721 0.125 0.096
0.875 0.971 0.596
0.250 0.750 0.500
0.500 0.500 0.000
0.000 0.000 0.000
0.750 0.250 0.500
```

Calculated values
As for the spin magnetization: 0.95 μB/f.u. The theoretical density is 8.90 g/cm³. The formation energy (no corrections) comes out at 0.454 eV per atom. The final energy comes out at -6.84 eV/atom. Its space group is I-42d (122).



[21]
# NiRuN2

An optimized crystal structure of NiRuN2 (PBE, Alexandria).

```
NiRuN2
1.0
-2.226 2.226 4.456
2.226 -2.226 4.456
2.226 2.226 -4.456
Ni Ru N
2 2 4
direct
0.000 0.000 0.000
0.750 0.250 0.500
0.250 0.750 0.500
0.500 0.500 0.000
0.122 0.625 0.997
0.375 0.372 0.497
0.628 0.125 0.003
0.875 0.878 0.503
```

Calculated values
As for the spin magnetization: 0.00 μB/f.u. The theoretical density is 7.06 g/cm³. The formation energy (no corrections) comes out at 0.275 eV per atom. The final energy comes out at -7.65 eV/atom. Its space group is I-42d (122).



[22]
# NiRuN2

An optimized crystal structure of NiRuN2 (PBE, Alexandria).

```
NiRuN2
1.0
4.666 0.000 0.000
0.000 2.732 0.000
-0.360 0.000 6.734
Ni Ru N
2 2 4
direct
0.000 0.000 0.000
0.152 0.000 0.665
0.470 0.500 0.946
0.619 0.000 0.276
0.026 0.000 0.268
0.228 0.000 0.389
0.556 0.000 0.719
0.743 0.000 0.593
```

Calculated values
As for the spin magnetization: 0.02 μB/f.u. The theoretical density is 7.26 g/cm³. The formation energy (no corrections) comes out at 0.394 eV per atom. The final energy comes out at -7.53 eV/atom. Its space group is Pm (6).



[23]
# NiRuN

An optimized crystal structure of NiRuN (PBE, Alexandria).

```
NiRuN
1.0
-1.344 1.787 7.907
1.344 -1.787 7.907
1.344 1.787 -7.907
Ni Ru N
2 2 2
direct
0.000 0.000 0.000
0.417 0.417 0.000
0.165 0.165 0.000
0.579 0.579 0.000
0.261 0.761 0.500
0.338 0.838 0.500
```

Calculated values
As for the spin magnetization: 0.00 μB/f.u. The theoretical density is 7.60 g/cm³. The formation energy (no corrections) comes out at 0.299 eV per atom. The final energy comes out at -7.50 eV/atom. Its space group is Imm2 (44).



[24]
# NiRu2N

An optimized crystal structure of NiRu2N (PBE, Alexandria).

```
NiRu2N
1.0
-3.114 3.114 2.494
3.114 -3.114 2.494
3.114 3.114 -2.494
Ni Ru N
2 4 2
direct
0.000 0.000 0.000
0.750 0.250 0.500
0.216 0.625 0.091
0.375 0.466 0.591
0.534 0.125 0.909
0.875 0.784 0.409
0.250 0.750 0.500
0.500 0.500 0.000
```

Calculated values
As for the spin magnetization: 0.00 μB/f.u. The theoretical density is 9.43 g/cm³. The formation energy (no corrections) comes out at 0.430 eV per atom. The final energy comes out at -7.73 eV/atom. Its space group is I-42d (122).



[25]
# NiRuN

An optimized crystal structure of NiRuN (PBE, Alexandria).

```
NiRuN
1.0
2.828 0.000 0.000
0.000 3.602 0.000
-0.608 0.000 3.321
Ni Ru N
1 1 1
direct
0.000 0.000 0.000
0.537 0.500 0.503
0.941 0.500 0.085
```

Calculated values
As for the spin magnetization: 0.00 μB/f.u. The theoretical density is 8.53 g/cm³. The formation energy (no corrections) comes out at 0.306 eV per atom. The final energy comes out at -7.49 eV/atom. Its space group is Pm (6).



[26]
# NiRuN

An optimized crystal structure of NiRuN (PBE, Alexandria).

```
NiRuN
1.0
1.365 0.788 10.434
-1.365 0.788 10.434
0.000 -1.576 10.434
Ni Ru N
2 2 2
direct
0.000 0.000 0.000
0.396 0.396 0.396
0.268 0.268 0.268
0.868 0.868 0.868
0.769 0.769 0.769
0.807 0.807 0.807
```

Calculated values
As for the spin magnetization: 0.00 μB/f.u. The theoretical density is 8.57 g/cm³. The formation energy (no corrections) comes out at 0.264 eV per atom. The final energy comes out at -7.53 eV/atom. Its space group is R3m (160).